# 1
{
  "formula": "Na2BiBAsO7",
  "functional": "GGA-PBE",
  "state": "relaxed",
  "volume_a3_per_atom": 16.11,
  "space_group": "P2_1/m (11)",
  "dft_energy_ev_per_atom": -5.972,
  "formation_energy_uncorrected_ev_per_atom": -1.5929,
  "lattice": [[-5.154, 1.730, -4.751], [-0.872, -5.378, -1.012], [-6.570, -0.109, 7.087]],
  "species": ["O", "O", "O", "O", "O", "O", "O", "O", "O", "O", "O", "O", "O", "O", "As", "As", "Na", "Na", "Na", "Na", "B", "B", "Bi", "Bi"],
  "fractional_positions": [[0.939, 0.119, 0.326], [0.750, 0.742, 0.048], [0.750, 0.567, 0.374], [0.750, 0.990, 0.840], [0.439, 0.881, 0.674], [0.250, 0.010, 0.160], [0.750, 0.210, 0.577], [0.250, 0.433, 0.626], [0.750, 0.561, 0.832], [0.250, 0.439, 0.168], [0.250, 0.258, 0.952], [0.561, 0.119, 0.326], [0.061, 0.881, 0.674], [0.250, 0.790, 0.423], [0.750, 0.263, 0.397], [0.250, 0.737, 0.603], [0.497, 0.267, 0.792], [0.003, 0.267, 0.792], [0.503, 0.733, 0.208], [0.997, 0.733, 0.208], [0.750, 0.775, 0.910], [0.250, 0.225, 0.090], [0.750, 0.811, 0.631], [0.250, 0.189, 0.369]]
}

# 2
{
  "formula": "Na6Bi2B4AsO16",
  "functional": "GGA-PBE",
  "state": "relaxed",
  "volume_a3_per_atom": 13.35,
  "space_group": "Fd-3 (203)",
  "dft_energy_ev_per_atom": -6.135,
  "formation_energy_uncorrected_ev_per_atom": -1.7771,
  "lattice": [[-0.071, 9.513, -3.968], [-6.432, 7.113, 3.780], [3.703, 7.901, 5.488]],
  "species": ["O", "O", "O", "O", "O", "O", "O", "O", "O", "O", "O", "O", "O", "O", "O", "O", "O", "O", "O", "O", "O", "O", "O", "O", "O", "O", "O", "O", "O", "O", "O", "O", "B", "B", "B", "B", "B", "B", "B", "B", "Bi", "Bi", "Bi", "Bi", "Na", "Na", "Na", "Na", "Na", "Na", "Na", "Na", "Na", "Na", "Na", "Na", "As", "As"],
  "fractional_positions": [[0.682, 0.682, 0.955], [0.967, 0.329, 0.486], [0.217, 0.486, 0.329], [0.283, 0.764, 0.033], [0.568, 0.568, 0.568], [0.764, 0.921, 0.033], [0.921, 0.764, 0.283], [0.967, 0.486, 0.217], [0.955, 0.682, 0.682], [0.764, 0.283, 0.921], [0.764, 0.033, 0.283], [0.283, 0.033, 0.921], [0.486, 0.217, 0.967], [0.033, 0.921, 0.283], [0.486, 0.967, 0.329], [0.283, 0.921, 0.764], [0.329, 0.967, 0.217], [0.967, 0.217, 0.329], [0.921, 0.283, 0.033], [0.295, 0.568, 0.568], [0.568, 0.568, 0.295], [0.921, 0.033, 0.764], [0.217, 0.329, 0.967], [0.568, 0.295, 0.568], [0.682, 0.955, 0.682], [0.329, 0.217, 0.486], [0.329, 0.486, 0.967], [0.033, 0.764, 0.921], [0.033, 0.283, 0.764], [0.217, 0.967, 0.486], [0.682, 0.682, 0.682], [0.486, 0.329, 0.217], [0.279, 0.907, 0.907], [0.907, 0.907, 0.279], [0.343, 0.971, 0.343], [0.343, 0.343, 0.971], [0.907, 0.279, 0.907], [0.907, 0.907, 0.907], [0.343, 0.343, 0.343], [0.971, 0.343, 0.343], [0.125, 0.625, 0.125], [0.625, 0.125, 0.125], [0.125, 0.125, 0.125], [0.125, 0.125, 0.625], [0.705, 0.295, 0.705], [0.295, 0.705, 0.705], [0.295, 0.295, 0.705], [0.295, 0.705, 0.295], [0.955, 0.545, 0.955], [0.955, 0.955, 0.545], [0.705, 0.295, 0.295], [0.545, 0.955, 0.955], [0.705, 0.705, 0.295], [0.955, 0.545, 0.545], [0.545, 0.955, 0.545], [0.545, 0.545, 0.955], [0.750, 0.750, 0.750], [0.500, 0.500, 0.500]]
}

# 3
{
  "formula": "NbBiB2As",
  "functional": "GGA-PBE",
  "state": "relaxed",
  "volume_a3_per_atom": 19.90,
  "space_group": "P4/mmm (123)",
  "dft_energy_ev_per_atom": -5.320,
  "e_form_ev_per_atom": 1.07,
  "lattice": [[4.426, 0.000, 0.000], [0.000, 5.078, 0.000], [0.000, 0.000, 4.426]],
  "species": ["Bi", "As", "B", "B", "Nb"],
  "fractional_positions": [[0.500, 0.500, 0.500], [0.000, 0.500, 0.000], [0.000, 0.000, 0.500], [0.500, 0.000, 0.000], [0.000, 0.000, 0.000]]
}

# 4
{
  "formula": "BiB2AsRu",
  "functional": "GGA-PBE",
  "state": "relaxed",
  "volume_a3_per_atom": 18.93,
  "space_group": "P4/mmm (123)",
  "dft_energy_ev_per_atom": -4.427,
  "e_form_ev_per_atom": 1.81,
  "lattice": [[4.024, 0.000, 0.000], [0.000, 5.846, 0.000], [0.000, 0.000, 4.024]],
  "species": ["As", "B", "B", "Bi", "Ru"],
  "fractional_positions": [[0.000, 0.000, 0.000], [0.000, 0.000, 0.500], [0.500, 0.000, 0.000], [0.000, 0.500, 0.000], [0.500, 0.500, 0.500]]
}

# 5
{
  "formula": "BiB2SbAs",
  "functional": "GGA-PBE",
  "state": "relaxed",
  "volume_a3_per_atom": 21.39,
  "space_group": "P4/mmm (123)",
  "dft_energy_ev_per_atom": -3.842,
  "formation_energy_uncorrected_ev_per_atom": 1.3600,
  "lattice": [[-1.835, 3.978, 0.127], [-4.972, -2.324, 0.948], [0.730, 0.199, 4.316]],
  "species": ["Sb", "Bi", "As", "B", "B"],
  "fractional_positions": [[0.000, 0.500, 0.000], [0.500, 0.500, 0.500], [0.000, 0.000, 0.000], [0.500, 0.000, 0.000], [0.000, 0.000, 0.500]]
}

# 6
{
  "formula": "BiBAs2Se",
  "functional": "GGA-PBE",
  "state": "relaxed",
  "volume_a3_per_atom": 33.56,
  "de_polymorph_kj_per_mol_atoms": 115.5,
  "space_group": "P4/mmm (123)",
  "dft_energy_ev_per_atom": -2.868,
  "formation_energy_uncorrected_ev_per_atom": 1.8006,
  "lattice": [[5.482, 0.000, 0.000], [0.000, 5.482, 0.000], [0.000, 0.000, 5.582]],
  "species": ["As", "As", "B", "Bi", "Se"],
  "fractional_positions": [[0.500, 0.000, 0.000], [0.000, 0.500, 0.000], [0.500, 0.500, 0.500], [0.000, 0.000, 0.000], [0.000, 0.000, 0.500]]
}

# 7
{
  "formula": "BiBAsSe2",
  "functional": "GGA-PBE",
  "state": "relaxed",
  "volume_a3_per_atom": 19.44,
  "de_polymorph_kj_per_mol_atoms": 0.0,
  "space_group": "P4/mmm (123)",
  "dft_energy_ev_per_atom": -3.916,
  "formation_energy_uncorrected_ev_per_atom": 0.5193,
  "lattice": [[4.608, 0.000, 0.000], [0.000, 4.608, 0.000], [0.000, 0.000, 4.579]],
  "species": ["Se", "Se", "Bi", "As", "B"],
  "fractional_positions": [[0.000, 0.500, 0.000], [0.500, 0.000, 0.000], [0.500, 0.500, 0.500], [0.000, 0.000, 0.500], [0.000, 0.000, 0.000]]
}

# 8
{
  "formula": "BiBAs2Se",
  "functional": "GGA-PBE",
  "state": "relaxed",
  "volume_a3_per_atom": 19.31,
  "de_polymorph_kj_per_mol_atoms": 0.0,
  "space_group": "P4/mmm (123)",
  "dft_energy_ev_per_atom": -4.065,
  "formation_energy_uncorrected_ev_per_atom": 0.6031,
  "lattice": [[4.606, 0.000, 0.000], [0.000, 4.606, 0.000], [0.000, 0.000, 4.551]],
  "species": ["As", "As", "B", "Bi", "Se"],
  "fractional_positions": [[0.000, 0.500, 0.000], [0.500, 0.000, 0.000], [0.000, 0.000, 0.000], [0.500, 0.500, 0.500], [0.000, 0.000, 0.500]]
}

# 9
{
  "formula": "BiBAsSe2",
  "functional": "GGA-PBE",
  "state": "relaxed",
  "volume_a3_per_atom": 34.05,
  "de_polymorph_kj_per_mol_atoms": 103.6,
  "space_group": "P4/mmm (123)",
  "dft_energy_ev_per_atom": -2.842,
  "formation_energy_uncorrected_ev_per_atom": 1.5931,
  "lattice": [[-4.272, -2.091, 2.884], [1.418, -5.076, -1.580], [3.261, -0.483, 4.480]],
  "species": ["Se", "Se", "Bi", "B", "As"],
  "fractional_positions": [[0.000, 0.000, 0.500], [0.500, 0.000, 0.000], [0.000, 0.000, 0.000], [0.500, 0.500, 0.500], [0.000, 0.500, 0.000]]
}

# 10
{
  "formula": "ZrBiB2As",
  "functional": "GGA-PBE",
  "state": "relaxed",
  "volume_a3_per_atom": 23.77,
  "space_group": "P4/mmm (123)",
  "dft_energy_ev_per_atom": -4.260,
  "e_form_ev_per_atom": 1.83,
  "lattice": [[4.475, 0.000, 0.000], [0.000, 5.935, 0.000], [0.000, 0.000, 4.475]],
  "species": ["As", "Zr", "Bi", "B", "B"],
  "fractional_positions": [[0.500, 0.500, 0.500], [0.000, 0.500, 0.000], [0.000, 0.000, 0.000], [0.500, 0.000, 0.000], [0.000, 0.000, 0.500]]
}

# 11
{
  "formula": "BAsBr2",
  "functional": "GGA-PBE",
  "state": "relaxed",
  "volume_a3_per_atom": 29.28,
  "de_polymorph_kj_per_mol_atoms": 33.1,
  "space_group": "I-42d (122)",
  "dft_energy_ev_per_atom": -2.542,
  "formation_energy_uncorrected_ev_per_atom": 1.1260,
  "lattice": [[6.912, 0.000, 0.000], [0.000, 6.912, 0.000], [3.456, 3.456, 4.904]],
  "species": ["As", "As", "B", "B", "Br", "Br", "Br", "Br"],
  "fractional_positions": [[0.750, 0.250, 0.500], [0.000, 0.000, 0.000], [0.250, 0.750, 0.500], [0.500, 0.500, 0.000], [0.398, 0.125, 0.250], [0.875, 0.648, 0.750], [0.375, 0.602, 0.750], [0.352, 0.625, 0.250]]
}

# 12
{
  "formula": "BAsBr2",
  "functional": "GGA-PBE",
  "state": "relaxed",
  "volume_a3_per_atom": 22.39,
  "de_polymorph_kj_per_mol_atoms": 16.1,
  "space_group": "R-3m (166)",
  "dft_energy_ev_per_atom": -2.719,
  "formation_energy_uncorrected_ev_per_atom": 0.9493,
  "lattice": [[2.003, 0.000, 8.593], [-1.002, 1.735, 8.593], [-1.002, -1.735, 8.593]],
  "species": ["Br", "Br", "B", "As"],
  "fractional_positions": [[0.897, 0.897, 0.897], [0.103, 0.103, 0.103], [0.500, 0.500, 0.500], [0.000, 0.000, 0.000]]
}

# 13
{
  "formula": "BAsBr2",
  "functional": "GGA-PBE",
  "state": "relaxed",
  "volume_a3_per_atom": 24.05,
  "de_polymorph_kj_per_mol_atoms": 0.0,
  "space_group": "R-3m (166)",
  "dft_energy_ev_per_atom": -2.886,
  "formation_energy_uncorrected_ev_per_atom": 0.7826,
  "lattice": [[-9.598, 2.088, 0.364], [-9.275, 0.310, 3.239], [-8.555, 3.628, 3.205]],
  "species": ["As", "Br", "Br", "B"],
  "fractional_positions": [[0.500, 0.500, 0.500], [0.063, 0.063, 0.063], [0.937, 0.937, 0.937], [0.000, 0.000, 0.000]]
}

Calculated calculated density, 3.89; 3.99; 6.65; 7.13; 6.63; 4.44; 7.73; 7.72; 4.42; 5.54; 3.48; 4.55; 4.24 g/cm3 (same order as the records).